*w*
The following is a DFT calculation (PBE) of a relaxed LiTiNbO4 crystal.

a b c (Å): 6.1056 6.1056 6.1056
angles (deg): 121.41 119.71 89.04
Last column: nearest neighbours and their distance in Å.
Fractional positions:
Li 0.3786 0.1286 0.2500  4 O 1.98-2.04
Li 0.6214 0.8714 0.7500  4 O 1.98-2.04
Ti 0.0000 0.5000 0.5000  6 O 2.04
Ti 0.5000 0.5000 0.0000  6 O 2.04
Nb 0.0000 0.0000 0.5000  6 O 2.09-2.12
Nb 0.0000 0.5000 0.0000  6 O 2.09-2.12
O 0.2270 0.7337 0.4933  1 Li 1.98, 1 Ti 2.04, 2 Nb 2.12
O 0.2398 0.2652 0.5254  2 Ti 2.04, 1 Li 2.04, 1 Nb 2.09
O 0.2398 0.7145 0.9746  2 Ti 2.04, 1 Li 2.04, 1 Nb 2.09
O 0.2596 0.2663 0.9933  1 Li 1.98, 1 Ti 2.04, 2 Nb 2.12
O 0.7404 0.7337 0.0067  1 Li 1.98, 1 Ti 2.04, 2 Nb 2.12
O 0.7602 0.2855 0.0254  2 Ti 2.04, 1 Li 2.04, 1 Nb 2.09
O 0.7602 0.7348 0.4746  2 Ti 2.04, 1 Li 2.04, 1 Nb 2.09
O 0.7730 0.2663 0.5067  1 Li 1.98, 1 Ti 2.04, 2 Nb 2.12

- DOS at the Fermi energy (states/eV/f.u.) = 3.48
- symmetry = Imma (74)
- total magnetic moment (μB per formula unit) = 0.0

*x*
The following is a DFT calculation (PBE) of a relaxed LiTiNbO4 crystal.

a b c (Å): 5.4656 5.4656 5.9790
angles (deg): 90.00 90.00 113.05
Last column: nearest neighbours and their distance in Å.
Fractional positions:
Li 0.1527 0.8473 0.7500  4 O 1.89-2.06
Li 0.8473 0.1527 0.2500  4 O 1.89-2.06
Ti 0.1519 0.8481 0.2500  4 O 1.82-1.91
Ti 0.8481 0.1519 0.7500  4 O 1.82-1.91
Nb 0.5000 0.5000 0.0000  6 O 2.07-2.19
Nb 0.5000 0.5000 0.5000  6 O 2.07-2.19
O 0.2232 0.2465 0.7500  1 Ti 1.91, 1 Li 2.06
O 0.2465 0.2232 0.2500  1 Ti 1.91, 1 Li 2.06
O 0.2727 0.7273 0.0086  1 Ti 1.82, 1 Li 1.89
O 0.2727 0.7273 0.4914  1 Ti 1.82, 1 Li 1.89
O 0.7273 0.2727 0.5086  1 Ti 1.82, 1 Li 1.89
O 0.7273 0.2727 0.9914  1 Ti 1.82, 1 Li 1.89
O 0.7535 0.7768 0.7500  1 Ti 1.91, 1 Li 2.06
O 0.7768 0.7535 0.2500  1 Ti 1.91, 1 Li 2.06

- DOS at the Fermi energy (states/eV/f.u.) = 2.62
- symmetry = Cmcm (63)
- total magnetic moment (μB per formula unit) = 1.0

Which of them is most stable, and which least? Most stable: *w*; least stable: *x*.